[1]
EuTmZnPd: relaxed, PBE.

Geometry as CIF:
```
data_EuTmZnPd
_chemical_formula_sum 'Eu1 Tm1 Zn1 Pd1'
_cell_length_a 5.0549
_cell_length_b 5.0549
_cell_length_c 5.0549
_cell_angle_alpha 60.00
_cell_angle_beta 60.00
_cell_angle_gamma 60.00
_symmetry_space_group_name_H-M 'P 1'
_symmetry_Int_Tables_number 1
loop_
_symmetry_equiv_pos_as_xyz
'x,y,z'
loop_
_atom_site_label
_atom_site_type_symbol
_atom_site_fract_x
_atom_site_fract_y
_atom_site_fract_z
Eu1 Eu 0.0000 0.0000 0.0000
Tm1 Tm 0.5000 0.5000 0.5000
Zn1 Zn 0.7500 0.7500 0.7500
Pd1 Pd 0.2500 0.2500 0.2500
```

Results
- ΔH_f (0 K) (eV/atom) = -0.4959
- symmetry = F-43m

[2]
EuYPd2: relaxed, PBE.

Geometry as CIF:
```
data_EuYPd2
_chemical_formula_sum 'Eu1 Y1 Pd2'
_cell_length_a 7.3084
_cell_length_b 7.3084
_cell_length_c 7.3084
_cell_angle_alpha 32.95
_cell_angle_beta 32.95
_cell_angle_gamma 32.95
_symmetry_space_group_name_H-M 'P 1'
_symmetry_Int_Tables_number 1
loop_
_symmetry_equiv_pos_as_xyz
'x,y,z'
loop_
_atom_site_label
_atom_site_type_symbol
_atom_site_fract_x
_atom_site_fract_y
_atom_site_fract_z
Eu1 Eu 0.0000 0.0000 0.0000
Y1 Y 0.5000 0.5000 0.5000
Pd1 Pd 0.2438 0.2438 0.2438
Pd2 Pd 0.7562 0.7562 0.7562
```

Results
- ΔH_f (0 K) (eV/atom) = -0.6288
- symmetry = R-3m

[3]
EuY2Pd: relaxed, PBE.

Geometry as CIF:
```
data_EuY2Pd
_chemical_formula_sum 'Eu1 Y2 Pd1'
_cell_length_a 9.7355
_cell_length_b 9.7355
_cell_length_c 9.7355
_cell_angle_alpha 23.89
_cell_angle_beta 23.89
_cell_angle_gamma 23.89
_symmetry_space_group_name_H-M 'P 1'
_symmetry_Int_Tables_number 1
loop_
_symmetry_equiv_pos_as_xyz
'x,y,z'
loop_
_atom_site_label
_atom_site_type_symbol
_atom_site_fract_x
_atom_site_fract_y
_atom_site_fract_z
Eu1 Eu 0.0000 0.0000 0.0000
Y1 Y 0.2227 0.2227 0.2227
Y2 Y 0.7773 0.7773 0.7773
Pd1 Pd 0.5000 0.5000 0.5000
```

Results
- E above lowest polymorph (eV per atom) = 0.079
- ΔH_f (0 K) (eV/atom) = -0.2954
- symmetry = R-3m

[4]
EuY3Pd: relaxed, PBE.

Geometry as CIF:
```
data_EuY3Pd
_chemical_formula_sum 'Eu1 Y3 Pd1'
_cell_length_a 5.5445
_cell_length_b 5.5445
_cell_length_c 5.5445
_cell_angle_alpha 90.00
_cell_angle_beta 90.00
_cell_angle_gamma 90.00
_symmetry_space_group_name_H-M 'P 1'
_symmetry_Int_Tables_number 1
loop_
_symmetry_equiv_pos_as_xyz
'x,y,z'
loop_
_atom_site_label
_atom_site_type_symbol
_atom_site_fract_x
_atom_site_fract_y
_atom_site_fract_z
Eu1 Eu 0.0000 0.0000 0.0000
Y1 Y 0.0000 0.5000 0.5000
Y2 Y 0.5000 0.0000 0.5000
Y3 Y 0.5000 0.5000 0.0000
Pd1 Pd 0.5000 0.5000 0.5000
```

Results
- ΔH_f (0 K) (eV/atom) = -0.2064
- symmetry = Pm-3m

[5]
EuYPd4: relaxed, PBE.

Geometry as CIF:
```
data_EuYPd4
_chemical_formula_sum 'Eu1 Y1 Pd4'
_cell_length_a 5.4912
_cell_length_b 5.4912
_cell_length_c 5.4912
_cell_angle_alpha 60.00
_cell_angle_beta 60.00
_cell_angle_gamma 60.00
_symmetry_space_group_name_H-M 'P 1'
_symmetry_Int_Tables_number 1
loop_
_symmetry_equiv_pos_as_xyz
'x,y,z'
loop_
_atom_site_label
_atom_site_type_symbol
_atom_site_fract_x
_atom_site_fract_y
_atom_site_fract_z
Eu1 Eu 0.0000 0.0000 0.0000
Y1 Y 0.2500 0.2500 0.2500
Pd1 Pd 0.1254 0.6249 0.6249
Pd2 Pd 0.6249 0.1254 0.6249
Pd3 Pd 0.6249 0.6249 0.1254
Pd4 Pd 0.6249 0.6249 0.6249
```

Results
- ΔH_f (0 K) (eV/atom) = -0.7335
- symmetry = F-43m

[6]
EuY2Pd: relaxed, PBE.

Geometry as CIF:
```
data_EuY2Pd
_chemical_formula_sum 'Eu1 Y2 Pd1'
_cell_length_a 3.5894
_cell_length_b 3.5894
_cell_length_c 9.0169
_cell_angle_alpha 90.00
_cell_angle_beta 90.00
_cell_angle_gamma 90.00
_symmetry_space_group_name_H-M 'P 1'
_symmetry_Int_Tables_number 1
loop_
_symmetry_equiv_pos_as_xyz
'x,y,z'
loop_
_atom_site_label
_atom_site_type_symbol
_atom_site_fract_x
_atom_site_fract_y
_atom_site_fract_z
Eu1 Eu 0.0000 0.0000 0.0000
Y1 Y 0.5000 0.5000 0.3155
Y2 Y 0.5000 0.5000 0.6845
Pd1 Pd 0.0000 0.0000 0.5000
```

Results
- E above lowest polymorph (eV per atom) = 0.000
- ΔH_f (0 K) (eV/atom) = -0.3742
- symmetry = P4/mmm